Entry 1:
Density functional theory data (PBE-GGA) for crystalline La3Th2Pb3 at its relaxed geometry.

a b c (Å): 9.6994 9.6994 6.6508
angles (deg): 90.00 90.00 120.00
Last column: nearest neighbours and their distance in Å.
Space group P6_3/mcm (No. 193)
Unique sites:
La 0.0000 0.2568 0.2500 [6 per cell]  5 Pb 3.29-3.55
Th 0.3333 0.6667 0.0000 [4 per cell]  2 Th 3.33, 6 Pb 3.44
Pb 0.0000 0.3852 0.7500 [6 per cell]  5 La 3.29-3.55, 4 Th 3.44

Properties
- electronic total energy (eV/f.u.) = -44.3
- calculated formation energy (eV/atom) = -0.448

---

Entry 2:
Density functional theory data (PBE-GGA) for crystalline La2ThPb at its relaxed geometry.

a b c (Å): 8.0517 8.0517 8.0517
angles (deg): 90.00 90.00 90.00
Last column: nearest neighbours and their distance in Å.
Space group Fm-3m (No. 225)
Unique sites:
La 0.2500 0.2500 0.2500 [8 per cell]  4 Pb 3.49, 4 Th 3.49
Th 0.0000 0.0000 0.0000 [4 per cell]  8 La 3.49
Pb 0.0000 0.0000 0.5000 [4 per cell]  8 La 3.49

Properties
- energy above the lowest structure with this stoichiometry (eV/atom) = 0.209
- electronic total energy (eV/f.u.) = -21.3
- calculated formation energy (eV/atom) = -0.077

---

Entry 3:
Density functional theory data (PBE-GGA) for crystalline LaThPb6 at its relaxed geometry.

a b c (Å): 4.9331 4.9331 9.8776
angles (deg): 90.00 90.00 90.00
Last column: nearest neighbours and their distance in Å.
Space group P4/mmm (No. 123)
Unique sites:
La 0.0000 0.0000 0.0000 [1 per cell]  12 Pb 3.49-3.51
Th 0.0000 0.0000 0.5000 [1 per cell]  12 Pb 3.47-3.49
Pb 0.0000 0.5000 0.2522 [4 per cell]  8 Pb 3.47-3.51, 2 Th 3.47, 2 La 3.51
Pb 0.5000 0.5000 0.0000 [1 per cell]  4 La 3.49, 8 Pb 3.51
Pb 0.5000 0.5000 0.5000 [1 per cell]  8 Pb 3.47, 4 Th 3.49

Properties
- electronic total energy (eV/f.u.) = -37.3
- calculated formation energy (eV/atom) = -0.336

---

Entry 4:
Density functional theory data (PBE-GGA) for crystalline La2ThPb9 at its relaxed geometry.

a b c (Å): 4.9432 4.9432 14.8297
angles (deg): 90.00 90.00 90.00
Last column: nearest neighbours and their distance in Å.
Space group P4/mmm (No. 123)
Unique sites:
La 0.0000 0.0000 0.1701 [2 per cell]  12 Pb 3.49-3.53
Th 0.0000 0.0000 0.5000 [1 per cell]  12 Pb 3.47-3.50
Pb 0.0000 0.5000 0.0000 [2 per cell]  8 Pb 3.50, 4 La 3.53
Pb 0.0000 0.5000 0.3360 [4 per cell]  8 Pb 3.47-3.52, 2 Th 3.47, 2 La 3.49
Pb 0.5000 0.5000 0.1673 [2 per cell]  4 La 3.50, 8 Pb 3.50-3.52
Pb 0.5000 0.5000 0.5000 [1 per cell]  8 Pb 3.47, 4 Th 3.50

Properties
- electronic total energy (eV/f.u.) = -55.1
- calculated formation energy (eV/atom) = -0.373

---

Entry 5:
Density functional theory data (PBE-GGA) for crystalline La5ThPb6 at its relaxed geometry.

a b c (Å): 5.1724 15.4905 9.3410
angles (deg): 90.00 90.00 90.00
Last column: nearest neighbours and their distance in Å.
Space group Cmmm (No. 65)
Unique sites:
La 0.0000 0.0000 0.0000 [2 per cell]  8 Pb 3.47-3.49, 4 La 3.66
La 0.0000 0.3324 0.0000 [4 per cell]  8 Pb 3.49-3.50, 4 La 3.63-3.66
La 0.0000 0.3348 0.5000 [4 per cell]  8 Pb 3.46-3.51, 2 Th 3.64, 2 La 3.69
Th 0.0000 0.0000 0.5000 [2 per cell]  8 Pb 3.46-3.48, 4 La 3.64
Pb 0.0000 0.1655 0.2509 [8 per cell]  1 Th 3.46, 7 La 3.47-3.51, 4 Pb 3.64-3.68
Pb 0.0000 0.5000 0.2508 [4 per cell]  6 La 3.46-3.50, 2 Th 3.48, 4 Pb 3.64

Properties
- electronic total energy (eV/f.u.) = -60.7
- calculated formation energy (eV/atom) = -0.529

---

Entry 6:
Density functional theory data (PBE-GGA) for crystalline LaTh2Pb at its relaxed geometry.

a b c (Å): 3.4544 3.4544 37.8909
angles (deg): 90.00 90.00 120.00
Last column: nearest neighbours and their distance in Å.
Space group R-3m (No. 166, hexagonal axes)
Unique sites:
La 0.0000 0.0000 0.0000 [3 per cell]  2 Th 3.45, 6 La 3.45
Th 0.0000 0.0000 0.0910 [6 per cell]  1 La 3.45, 6 Th 3.45, 3 Pb 3.49
Pb 0.0000 0.0000 0.5000 [3 per cell]  6 Pb 3.45, 6 Th 3.49

Properties
- energy above the lowest structure with this stoichiometry (eV/atom) = 0.327
- electronic total energy (eV/f.u.) = -23.0
- calculated formation energy (eV/atom) = 0.118

---

Entry 7:
Density functional theory data (PBE-GGA) for crystalline La2ThPb at its relaxed geometry.

a b c (Å): 5.0484 5.0484 5.0163
angles (deg): 90.00 90.00 90.00
Last column: nearest neighbours and their distance in Å.
Space group P4/mmm (No. 123)
Unique sites:
La 0.0000 0.5000 0.0000 [2 per cell]  4 Pb 3.56, 4 Th 3.56, 4 La 3.57
Th 0.0000 0.0000 0.5000 [1 per cell]  8 La 3.56, 4 Pb 3.57
Pb 0.5000 0.5000 0.5000 [1 per cell]  8 La 3.56, 4 Th 3.57

Properties
- energy above the lowest structure with this stoichiometry (eV/atom) = 0.000
- electronic total energy (eV/f.u.) = -22.1
- calculated formation energy (eV/atom) = -0.286

---

Entry 8:
Density functional theory data (PBE-GGA) for crystalline La12ThPb3 at its relaxed geometry.

a b c (Å): 5.0944 5.0944 20.4803
angles (deg): 90.00 90.00 90.00
Last column: nearest neighbours and their distance in Å.
Space group P4/mmm (No. 123)
Unique sites:
La 0.0000 0.0000 0.0000 [1 per cell]  8 La 3.59, 4 Pb 3.60
La 0.0000 0.0000 0.2458 [2 per cell]  8 La 3.58-3.67, 4 Pb 3.60
La 0.0000 0.0000 0.5000 [1 per cell]  4 Th 3.60, 8 La 3.61
La 0.0000 0.5000 0.1232 [4 per cell]  8 La 3.58-3.60, 4 Pb 3.59-3.60
La 0.0000 0.5000 0.3750 [4 per cell]  8 La 3.60-3.67, 2 Th 3.61, 2 Pb 3.64
Th 0.5000 0.5000 0.5000 [1 per cell]  12 La 3.60-3.61
Pb 0.5000 0.5000 0.0000 [1 per cell]  12 La 3.59-3.60
Pb 0.5000 0.5000 0.2477 [2 per cell]  12 La 3.60-3.64

Properties
- electronic total energy (eV/f.u.) = -82.1
- calculated formation energy (eV/atom) = -0.280